Rb4CuGe3Cl12 | PBE | relaxed

The structure in POSCAR format:
```
Rb4CuGe3Cl12
1.0
-8.0441 -3.1870 -2.3141
6.0727 -6.5633 -0.5149
-0.3242 3.1159 8.3908
Cu Cl Ge Rb
1 12 3 4
Direct
0.0000 0.0000 0.0000
0.7549 0.7549 0.0000
0.7500 0.5000 0.2500
0.7549 0.0000 0.7549
0.5000 0.2500 0.7500
0.2451 0.2451 0.0000
0.2500 0.7500 0.5000
0.2451 0.0000 0.2451
0.7500 0.2500 0.5000
0.0000 0.7549 0.7549
0.0000 0.2451 0.2451
0.5000 0.7500 0.2500
0.2500 0.5000 0.7500
0.5000 0.0000 0.5000
0.5000 0.5000 0.0000
0.0000 0.5000 0.5000
0.0000 0.5000 0.0000
0.0000 0.0000 0.5000
0.5000 0.5000 0.5000
0.5000 0.0000 0.0000
```

## Properties
**Crystal system**: cubic
**Volume**: 27.65 Å³ per atom
**E_form (uncorrected)**: -1.2362 eV per atom
**Total magnetization**: 0.000 Bohr magnetons per cell